No. 1
Er3Tm2Ru3 after structural relaxation, computed with PBE-GGA.

Values from the calculation:
The value obtained for the total energy is -6.66 eV per atom. The density of states at the Fermi level comes out at 0.524 states/eV per atom. The symmetry is Immm (71). Its formation energy is -0.3496 eV per atom.

abc: 3.430 5.042 10.621
angles: 103.73 99.29 90.00
Sites, in units of the cell vectors:
Er 0.611 0.611 0.222
Er 0.389 0.389 0.778
Er 0.500 0.000 0.000
Tm 0.719 0.219 0.439
Tm 0.281 0.781 0.561
Ru 0.116 0.116 0.231
Ru 0.000 0.500 0.000
Ru 0.884 0.884 0.769

***

No. 2
ErTm2Ru3 after structural relaxation, computed with PBE-GGA.

Values from the calculation:
The value obtained for the polymorph energy (0 for the lowest one) is 7 meV/atom. The value obtained for the total energy is -7.29 eV per atom. The density of states at the Fermi level comes out at 1.363 states/eV per atom. The symmetry is P-3m1 (164). Its formation energy is -0.3993 eV per atom.

abc: 4.752 4.752 5.820
angles: 90.00 90.00 120.00
Sites, in units of the cell vectors:
Er 0.000 0.000 0.000
Tm 0.667 0.333 0.334
Tm 0.333 0.667 0.666
Ru 0.000 0.000 0.500
Ru 0.667 0.333 0.833
Ru 0.333 0.667 0.167

***

No. 3
Er3TmRu4 after structural relaxation, computed with PBE-GGA.

Values from the calculation:
The value obtained for the total energy is -7.30 eV per atom. The density of states at the Fermi level comes out at 1.245 states/eV per atom. The symmetry is P4/mmm (123). Its formation energy is -0.3898 eV per atom.

abc: 4.757 6.743 9.514
angles: 90.00 90.00 90.00
Sites, in units of the cell vectors:
Ru 0.500 0.749 0.000
Ru 0.500 0.749 0.500
Ru 0.500 0.251 0.000
Ru 0.500 0.251 0.500
Ru 0.000 0.749 0.750
Ru 0.000 0.749 0.250
Ru 0.000 0.251 0.250
Ru 0.000 0.251 0.750
Tm 0.000 0.500 0.000
Tm 0.000 0.500 0.500
Er 0.000 0.000 0.000
Er 0.000 0.000 0.500
Er 0.500 0.000 0.750
Er 0.500 0.000 0.250
Er 0.500 0.500 0.750
Er 0.500 0.500 0.250

***

No. 4
ErTm2Ru2 after structural relaxation, computed with PBE-GGA.

Values from the calculation:
The value obtained for the polymorph energy (0 for the lowest one) is 0 meV/atom. The value obtained for the total energy is -6.80 eV per atom. The density of states at the Fermi level comes out at 0.649 states/eV per atom. The symmetry is Cmmm (65). Its formation energy is -0.3876 eV per atom.

abc: 3.348 3.374 10.115
angles: 80.40 90.00 90.00
Sites, in units of the cell vectors:
Er 0.000 0.000 0.000
Tm 0.000 0.166 0.668
Tm 0.000 0.834 0.332
Ru 0.500 0.411 0.178
Ru 0.500 0.589 0.822

***

No. 5
ErTm3Ru3 after structural relaxation, computed with PBE-GGA.

Values from the calculation:
The value obtained for the polymorph energy (0 for the lowest one) is 0 meV/atom. The value obtained for the total energy is -6.98 eV per atom. The density of states at the Fermi level comes out at 0.379 states/eV per atom. The symmetry is R3m (160). Its formation energy is -0.4378 eV per atom.

abc: 5.765 5.758 5.765
angles: 109.45 109.50 109.45
Sites, in units of the cell vectors:
Er 0.000 0.418 0.000
Tm 0.415 0.004 0.000
Tm 0.585 0.589 0.585
Tm 0.000 0.004 0.415
Ru 0.500 0.504 0.000
Ru 0.500 0.004 0.500
Ru 0.000 0.504 0.500

***

No. 6
Er4TmRu5 after structural relaxation, computed with PBE-GGA.

Values from the calculation:
The value obtained for the total energy is -7.30 eV per atom. The density of states at the Fermi level comes out at 1.357 states/eV per atom. The symmetry is P4/mmm (123). Its formation energy is -0.3904 eV per atom.

abc: 3.369 3.369 16.814
angles: 90.00 90.00 90.00
Sites, in units of the cell vectors:
Er 0.000 0.000 0.199
Er 0.000 0.000 0.400
Er 0.000 0.000 0.600
Er 0.000 0.000 0.801
Tm 0.000 0.000 0.000
Ru 0.500 0.500 0.099
Ru 0.500 0.500 0.300
Ru 0.500 0.500 0.500
Ru 0.500 0.500 0.700
Ru 0.500 0.500 0.901

***

No. 7
ErTm3Ru3 after structural relaxation, computed with PBE-GGA.

Values from the calculation:
The value obtained for the polymorph energy (0 for the lowest one) is 22 meV/atom. The value obtained for the total energy is -6.96 eV per atom. The density of states at the Fermi level comes out at 0.525 states/eV per atom. The symmetry is C2/m (12). Its formation energy is -0.4155 eV per atom.

abc: 6.742 6.742 6.665
angles: 90.05 90.05 90.26
Sites, in units of the cell vectors:
Er 0.752 0.752 0.000
Er 0.248 0.248 0.000
Tm 0.755 0.755 0.500
Tm 0.245 0.755 0.500
Tm 0.755 0.245 0.500
Tm 0.243 0.757 0.000
Tm 0.757 0.243 0.000
Tm 0.245 0.245 0.500
Ru 0.000 0.000 0.250
Ru 0.000 0.500 0.749
Ru 0.500 0.000 0.749
Ru 0.000 0.500 0.251
Ru 0.500 0.000 0.251
Ru 0.000 0.000 0.750

***

No. 8
ErTm5Ru6 after structural relaxation, computed with PBE-GGA.

Values from the calculation:
The value obtained for the total energy is -7.29 eV per atom. The density of states at the Fermi level comes out at 1.174 states/eV per atom. The symmetry is Immm (71). Its formation energy is -0.4103 eV per atom.

abc: 4.756 6.724 8.204
angles: 114.19 106.85 90.00
Sites, in units of the cell vectors:
Ru 0.833 0.583 0.666
Ru 0.833 0.083 0.666
Ru 0.500 0.749 0.000
Ru 0.500 0.251 0.000
Ru 0.167 0.917 0.334
Ru 0.167 0.417 0.334
Tm 0.667 0.167 0.334
Tm 0.333 0.333 0.667
Tm 0.000 0.500 0.000
Tm 0.667 0.667 0.333
Tm 0.333 0.833 0.666
Er 0.000 0.000 0.000

***

No. 9
Er3Tm2Ru2 after structural relaxation, computed with PBE-GGA.

Values from the calculation:
The value obtained for the total energy is -6.25 eV per atom. The density of states at the Fermi level comes out at 0.782 states/eV per atom. The symmetry is C2/m (12). Its formation energy is -0.3716 eV per atom.

abc: 3.859 6.179 8.330
angles: 112.10 90.00 108.20
Sites, in units of the cell vectors:
Er 0.500 0.000 0.000
Er 0.622 0.244 0.430
Er 0.378 0.756 0.570
Tm 0.835 0.670 0.187
Tm 0.165 0.330 0.813
Ru 0.821 0.643 0.781
Ru 0.179 0.357 0.219

***

No. 10
Er5TmRu3 after structural relaxation, computed with PBE-GGA.

Values from the calculation:
The value obtained for the total energy is -6.36 eV per atom. The density of states at the Fermi level comes out at 0.293 states/eV per atom. The symmetry is C2/m (12). Its formation energy is -0.2351 eV per atom.

abc: 7.547 7.547 9.831
angles: 72.01 72.01 72.74
Sites, in units of the cell vectors:
Er 0.969 0.367 0.335
Er 0.300 0.700 0.000
Er 0.767 0.767 0.035
Er 0.436 0.436 0.366
Er 0.564 0.564 0.634
Er 0.233 0.233 0.965
Er 0.367 0.969 0.335
Er 0.700 0.300 0.000
Er 0.031 0.633 0.665
Er 0.633 0.031 0.665
Tm 0.098 0.098 0.702
Tm 0.902 0.902 0.298
Ru 0.666 0.666 0.834
Ru 0.669 0.669 0.335
Ru 0.000 0.000 0.000
Ru 0.000 0.000 0.500
Ru 0.334 0.334 0.166
Ru 0.331 0.331 0.665

***

No. 11
Er5Tm2Ru5 after structural relaxation, computed with PBE-GGA.

Values from the calculation:
The value obtained for the total energy is -6.79 eV per atom. The density of states at the Fermi level comes out at 0.649 states/eV per atom. The symmetry is R-3m (166). Its formation energy is -0.2802 eV per atom.

abc: 4.796 4.796 13.278
angles: 79.60 79.60 60.00
Sites, in units of the cell vectors:
Er 0.500 0.500 0.500
Er 0.310 0.310 0.071
Er 0.216 0.216 0.353
Er 0.784 0.784 0.647
Er 0.690 0.690 0.929
Tm 0.072 0.072 0.784
Tm 0.928 0.928 0.216
Ru 0.855 0.855 0.434
Ru 0.386 0.386 0.843
Ru 0.614 0.614 0.157
Ru 0.145 0.145 0.566
Ru 0.000 0.000 0.000

***

No. 12
ErTm2Ru2 after structural relaxation, computed with PBE-GGA.

Values from the calculation:
The value obtained for the polymorph energy (0 for the lowest one) is 112 meV/atom. The value obtained for the total energy is -6.69 eV per atom. The density of states at the Fermi level comes out at 0.770 states/eV per atom. The symmetry is P2_1/m (11). Its formation energy is -0.2759 eV per atom.

abc: 4.383 5.376 10.710
angles: 111.72 90.00 90.00
Sites, in units of the cell vectors:
Er 0.250 0.794 0.220
Er 0.750 0.206 0.780
Tm 0.250 0.774 0.887
Tm 0.750 0.226 0.113
Tm 0.250 0.282 0.528
Tm 0.750 0.718 0.472
Ru 0.250 0.899 0.651
Ru 0.750 0.101 0.349
Ru 0.250 0.318 0.954
Ru 0.750 0.682 0.046

***

What is the formula in the tenth record?
Er5TmRu3